Here is a relaxed structure of LiN2ClF from Alexandria. Energies are from PBE.

Values from the calculation:
* total magnetic moment: 0.0 Bohr magnetons per cell
* DOS at the Fermi energy: 0.126 states/eV/atom
* space-group type: P4/mmm, No. 123
* ΔE_f (raw): 1.089 eV per atom

abc: 3.4955 3.4955 5.9239
angles: 90.00 90.00 90.00
Fractional positions:
N: 0.0000 0.5000 0.0000
N: 0.5000 0.0000 0.0000
F: 0.0000 0.0000 0.5000
Li: 0.5000 0.5000 0.5000
Cl: 0.0000 0.0000 0.0000

=====

Here is a relaxed structure of Li6NCl2F from Alexandria. Energies are from PBE.

Values from the calculation:
* total magnetic moment: 0.3 Bohr magnetons per cell
* DOS at the Fermi energy: 0.000 states/eV/atom
* space-group type: Pmmn, No. 59
* ΔE_f (raw): -1.362 eV per atom

abc: 5.7214 5.7230 8.0725
angles: 90.00 90.00 90.00
Site moments in Bohr magnetons follow the coordinates.
Fractional positions:
Li: 0.5000 0.2472 0.2637  0.00
Li: 0.5000 0.2472 0.7363  0.00
Li: 0.0000 0.7528 0.2363  0.00
Li: 0.0000 0.7528 0.7637  0.00
Li: 0.2644 0.0149 0.5000  0.00
Li: 0.7356 0.0149 0.5000  0.00
Li: 0.2642 0.4866 0.5000  0.00
Li: 0.7358 0.4866 0.5000  0.00
Li: 0.7642 0.5134 0.0000  0.00
Li: 0.2358 0.5134 0.0000  0.00
Li: 0.2356 0.9851 0.0000  0.00
Li: 0.7644 0.9851 0.0000  0.00
N: 0.5000 0.2514 0.5000  0.07
N: 0.0000 0.7486 0.0000  0.07
Cl: 0.5000 0.7539 0.2501  0.00
Cl: 0.0000 0.2461 0.7501  0.00
Cl: 0.5000 0.7539 0.7499  0.00
Cl: 0.0000 0.2461 0.2499  0.00
F: 0.0000 0.7486 0.5000  0.00
F: 0.5000 0.2514 0.0000  0.00

=====

Here is a relaxed structure of NaLiClF from Alexandria. Energies are from PBE.

Values from the calculation:
* total magnetic moment: 0.0 Bohr magnetons per cell
* DOS at the Fermi energy: 0.000 states/eV/atom
* space-group type: R-3m, No. 166
* ΔE_f (raw): -2.240 eV per atom

abc: 4.0919 4.0919 9.6593
angles: 77.77 77.77 60.00
Fractional positions:
Na: 0.6261 0.6261 0.1218
Na: 0.3739 0.3739 0.8782
Li: 0.7776 0.7776 0.6671
Li: 0.2224 0.2224 0.3329
Cl: 0.1183 0.1183 0.6451
Cl: 0.8817 0.8817 0.3549
F: 0.7073 0.7073 0.8780
F: 0.2927 0.2927 0.1220

=====

Please write out number 1 again, unchanged.
Here is a relaxed structure of LiN2ClF from Alexandria. Energies are from PBE.

Values from the calculation:
* total magnetic moment: 0.0 Bohr magnetons per cell
* DOS at the Fermi energy: 0.126 states/eV/atom
* space-group type: P4/mmm, No. 123
* ΔE_f (raw): 1.089 eV per atom

abc: 3.4955 3.4955 5.9239
angles: 90.00 90.00 90.00
Fractional positions:
N: 0.0000 0.5000 0.0000
N: 0.5000 0.0000 0.0000
F: 0.0000 0.0000 0.5000
Li: 0.5000 0.5000 0.5000
Cl: 0.0000 0.0000 0.0000